Computed, not measured: a PBEsol-optimized structure of BiHS2 at the meta-GGA SCAN level of DFT.

abc: 4.6297 4.6297 4.6297
angles: 60.00 60.00 60.00
Closest atoms and distances in Å follow each position.
Fractional coordinates of all 4 atoms:
H1 0.0000 0.0000 0.0000  8 S 2.84
S1 0.7500 0.7500 0.7500  4 Bi 2.84, 4 H 2.84
Bi1 0.5000 0.5000 0.5000  8 S 2.84
S2 0.2500 0.2500 0.2500  4 H 2.84, 4 Bi 2.84

Values from the calculation:
Symmetry = Fm-3m
Energy above the lowest structure with this stoichiometry = 0.769 eV/atom
Total DFT energy (no corrections) = -24.6797 eV per atom